A plane-wave DFT calculation with GGA-PBE was carried out for a geometry-optimized MgZr4Hg structure. Values from VASP.

Results
Energy above the most stable polymorph in this dataset, meV per atom: 332
Size of the total moment, μB/atom: 0.00
Space group: F-43m, No. 216

Cell and atoms, written as Quantum ESPRESSO input:
```
&SYSTEM
  ibrav = 0, nat = 6, ntyp = 3
/
ATOMIC_SPECIES
Mg 24.30 Mg.upf
Zr 91.22 Zr.upf
Hg 200.59 Hg.upf
CELL_PARAMETERS angstrom
0.000 4.108 4.108
4.108 0.000 4.108
4.108 4.108 0.000
ATOMIC_POSITIONS angstrom
Mg 0.000 0.000 0.000
Zr 3.076 5.140 5.140
Zr 3.076 3.076 3.076
Zr 5.140 5.140 3.076
Zr 5.140 3.076 5.140
Hg 6.162 6.162 6.162
```